No. 1
Compound: Zn2ReRu
Source: Alexandria
Functional: PBE
Structure: relaxed

Results
- distance to the lowest polymorph of the same formula (eV per atom) = 0.3389
- E_form (kcal/mol of atoms) = 7.17
- spin magnetization (μB per formula unit) = 0.00
- volume (Å³ per cell) = 58

Cell: 4.826 4.826 2.743 Å, 90.00 90.00 115.60°
Fractional coordinates of all 4 atoms:
Zn  0.000  0.500  0.000
Zn  0.500  0.000  0.000
Re  0.000  0.000  0.500
Ru  0.500  0.500  0.500


No. 2
Compound: CoNi3Cl
Source: Alexandria
Functional: PBE
Structure: relaxed

Results
- distance to the lowest polymorph of the same formula (eV per atom) = 0.2334
- spin magnetization (μB per formula unit) = 4.11
- volume (Å³ per cell) = 83

Cell: 4.357 4.357 4.357 Å, 90.00 90.00 90.00°
Fractional coordinates of all 5 atoms:
Co  0.000  0.000  0.000
Ni  0.000  0.000  0.500
Ni  0.000  0.500  0.000
Ni  0.500  0.000  0.000
Cl  0.500  0.500  0.500


No. 3
Compound: LaCO3
Source: Alexandria
Functional: PBE
Structure: relaxed

Results
- spin magnetization (μB per formula unit) = 0.00
- total DFT energy (no corrections) (eV per formula unit) = -26.254
- volume (Å³ per cell) = 84

Cell: 4.382 4.382 4.382 Å, 90.00 90.00 90.00°
Fractional coordinates of all 5 atoms:
La  0.000  0.000  0.000
C  0.500  0.500  0.500
O  0.000  0.000  0.500
O  0.000  0.500  0.000
O  0.500  0.000  0.000


No. 4
Compound: Ca2SiAg2
Source: Alexandria
Functional: PBE
Structure: relaxed

Results
- distance to the lowest polymorph of the same formula (eV per atom) = 0.0000
- spin magnetization (μB per formula unit) = 0.00
- volume (Å³ per cell) = 116

Cell: 5.778 5.778 5.778 Å, 134.00 120.82 78.06°
Fractional coordinates of all 5 atoms:
Ca  0.194  0.194  0.000
Ca  0.806  0.806  0.000
Si  0.500  0.000  0.500
Ag  0.244  0.500  0.744
Ag  0.756  0.500  0.256